A relaxed PaGeI6 crystal, computed with PBE.

```
PaGeI6
1.0
3.751 -7.148 0.000
3.751 7.148 0.000
-2.312 0.000 7.131
Pa Ge I
1 1 6
direct
0.000 0.000 0.000 Pa
0.500 0.500 0.500 Ge
0.106 0.398 0.254 I
0.249 0.249 0.753 I
0.398 0.106 0.254 I
0.602 0.894 0.746 I
0.751 0.751 0.247 I
0.894 0.602 0.746 I
```

Values from the calculation:
The calculation puts the spin magnetization at 0.125 μB per atom. Its space group is No. 12. The uncorrected formation energy is -0.687 eV/atom. For the electronic total energy, the calculation gives -3.614 eV per atom. The value obtained for the calculated volume is 47.8 A^3/atom.

---

A relaxed Ge5PbI12 crystal, computed with PBE.

```
Ge5PbI12
1.0
3.769 -6.536 0.000
3.769 6.536 0.000
-0.023 0.000 15.421
Ge Pb I
5 1 12
direct
0.000 0.000 0.000 Ge
0.167 0.833 0.500 Ge
0.333 0.667 0.000 Ge
0.667 0.333 0.000 Ge
0.833 0.167 0.500 Ge
0.500 0.500 0.500 Pb
0.000 0.333 0.888 I
0.000 0.667 0.112 I
0.144 0.144 0.618 I
0.144 0.500 0.382 I
0.333 0.000 0.888 I
0.334 0.334 0.112 I
0.500 0.144 0.382 I
0.500 0.856 0.618 I
0.666 0.666 0.888 I
0.667 0.000 0.112 I
0.856 0.500 0.618 I
0.856 0.856 0.382 I
```

Values from the calculation:
The calculation puts the spin magnetization at 0.000 μB per atom. Its space group is No. 12. The uncorrected formation energy is -0.374 eV/atom. For the electronic total energy, the calculation gives -2.896 eV per atom. The value obtained for the calculated volume is 42.2 A^3/atom.

---

A relaxed GePbI2 crystal, computed with PBE.

```
GePbI2
1.0
2.009 1.160 10.539
-2.009 1.160 10.539
0.000 -2.319 10.539
Ge Pb I
1 1 2
direct
0.000 0.000 0.000 Ge
0.500 0.500 0.500 Pb
0.396 0.396 0.396 I
0.604 0.604 0.604 I
```

Values from the calculation:
The calculation puts the spin magnetization at 0.000 μB per atom. Its space group is No. 166. The uncorrected formation energy is 0.042 eV/atom. For the electronic total energy, the calculation gives -2.815 eV per atom. The value obtained for the calculated volume is 36.8 A^3/atom.

---

A relaxed Ge2PbI crystal, computed with PBE.

```
Ge2PbI
1.0
0.000 3.755 3.755
3.755 0.000 3.755
3.755 3.755 0.000
Ge Pb I
2 1 1
direct
0.250 0.250 0.250 Ge
0.750 0.750 0.750 Ge
0.000 0.000 0.000 Pb
0.500 0.500 0.500 I
```

Values from the calculation:
The calculation puts the spin magnetization at 0.000 μB per atom. Its space group is No. 225. The uncorrected formation energy is 0.426 eV/atom. For the electronic total energy, the calculation gives -3.197 eV per atom. The value obtained for the calculated volume is 26.5 A^3/atom.

---

A relaxed GePb2I6 crystal, computed with PBE.

```
GePb2I6
1.0
7.537 0.000 0.000
0.000 7.537 0.000
0.000 0.000 14.067
Ge Pb I
2 4 12
direct
0.000 0.000 0.000 Ge
0.500 0.500 0.500 Ge
0.000 0.000 0.335 Pb
0.000 0.000 0.665 Pb
0.500 0.500 0.165 Pb
0.500 0.500 0.835 Pb
0.194 0.194 0.157 I
0.194 0.194 0.843 I
0.214 0.214 0.500 I
0.286 0.714 0.000 I
0.306 0.694 0.343 I
0.306 0.694 0.657 I
0.694 0.306 0.343 I
0.694 0.306 0.657 I
0.714 0.286 0.000 I
0.786 0.786 0.500 I
0.806 0.806 0.157 I
0.806 0.806 0.843 I
```

Values from the calculation:
The calculation puts the spin magnetization at 0.000 μB per atom. Its space group is No. 136. The uncorrected formation energy is -0.486 eV/atom. For the electronic total energy, the calculation gives -2.856 eV per atom. The value obtained for the calculated volume is 44.4 A^3/atom.

---

A relaxed GePbI4 crystal, computed with PBE.

```
GePbI4
1.0
7.777 -2.226 0.000
7.777 2.226 0.000
-1.651 0.000 7.651
Ge Pb I
1 1 4
direct
0.000 0.000 0.000 Ge
0.500 0.500 0.500 Pb
0.122 0.122 0.361 I
0.385 0.385 0.101 I
0.615 0.615 0.899 I
0.878 0.878 0.639 I
```

Values from the calculation:
The calculation puts the spin magnetization at 0.000 μB per atom. Its space group is No. 12. The uncorrected formation energy is -0.478 eV/atom. For the electronic total energy, the calculation gives -2.899 eV per atom. The value obtained for the calculated volume is 44.1 A^3/atom.

---

A relaxed GePbI4 crystal, computed with PBE.

```
GePbI4
1.0
9.533 -3.133 0.000
9.533 3.133 0.000
-3.179 0.000 9.701
Ge Pb I
2 2 8
direct
0.103 0.103 0.165 Ge
0.897 0.897 0.835 Ge
0.216 0.216 0.779 Pb
0.784 0.784 0.221 Pb
0.053 0.053 0.857 I
0.144 0.144 0.471 I
0.265 0.265 0.150 I
0.387 0.387 0.823 I
0.613 0.613 0.177 I
0.735 0.735 0.850 I
0.856 0.856 0.529 I
0.947 0.947 0.143 I
```

Values from the calculation:
The calculation puts the spin magnetization at 0.000 μB per atom. Its space group is No. 12. The uncorrected formation energy is -0.401 eV/atom. For the electronic total energy, the calculation gives -2.822 eV per atom. The value obtained for the calculated volume is 48.3 A^3/atom.

---

A relaxed GePbI2 crystal, computed with PBE.

```
GePbI2
1.0
-4.354 4.354 3.672
4.354 -4.354 3.672
4.354 4.354 -3.672
Ge Pb I
2 2 4
direct
0.000 0.000 0.000 Ge
0.750 0.250 0.500 Ge
0.250 0.750 0.500 Pb
0.500 0.500 0.000 Pb
0.100 0.625 0.975 I
0.375 0.350 0.475 I
0.650 0.125 0.025 I
0.875 0.900 0.525 I
```

Values from the calculation:
The calculation puts the spin magnetization at 0.000 μB per atom. Its space group is No. 122. The uncorrected formation energy is 0.083 eV/atom. For the electronic total energy, the calculation gives -2.774 eV per atom. The value obtained for the calculated volume is 34.8 A^3/atom.

---

A relaxed GePb3I8 crystal, computed with PBE.

```
GePb3I8
1.0
7.918 -4.574 0.000
7.918 4.574 0.000
-5.387 0.000 7.691
Ge Pb I
1 3 8
direct
0.000 0.000 0.000 Ge
0.000 0.500 0.000 Pb
0.500 0.000 0.000 Pb
0.500 0.500 0.000 Pb
0.232 0.764 0.765 I
0.236 0.236 0.235 I
0.236 0.768 0.235 I
0.249 0.249 0.752 I
0.751 0.751 0.248 I
0.764 0.232 0.765 I
0.764 0.764 0.765 I
0.768 0.236 0.235 I
```

Values from the calculation:
The calculation puts the spin magnetization at 0.000 μB per atom. Its space group is No. 12. The uncorrected formation energy is -0.563 eV/atom. For the electronic total energy, the calculation gives -2.908 eV per atom. The value obtained for the calculated volume is 46.4 A^3/atom.

---

A relaxed Ge2PbI crystal, computed with PBE.

```
Ge2PbI
1.0
-3.114 3.114 7.721
3.114 -3.114 7.721
3.114 3.114 -7.721
Ge Pb I
4 2 2
direct
0.106 0.625 0.981 Ge
0.375 0.356 0.481 Ge
0.644 0.125 0.019 Ge
0.875 0.894 0.519 Ge
0.000 0.000 0.000 Pb
0.750 0.250 0.500 Pb
0.250 0.750 0.500 I
0.500 0.500 0.000 I
```

Values from the calculation:
The calculation puts the spin magnetization at 0.000 μB per atom. Its space group is No. 122. The uncorrected formation energy is 0.483 eV/atom. For the electronic total energy, the calculation gives -3.140 eV per atom. The value obtained for the calculated volume is 37.4 A^3/atom.

---

A relaxed GePb2I6 crystal, computed with PBE.

```
GePb2I6
1.0
7.874 0.000 0.000
-3.937 6.819 0.000
0.000 0.000 7.615
Ge Pb I
1 2 6
direct
0.000 0.000 0.000 Ge
0.333 0.667 0.000 Pb
0.667 0.333 0.000 Pb
0.000 0.312 0.239 I
0.000 0.688 0.761 I
0.312 0.000 0.239 I
0.312 0.312 0.761 I
0.688 0.000 0.761 I
0.688 0.688 0.239 I
```

Values from the calculation:
The calculation puts the spin magnetization at 0.000 μB per atom. Its space group is No. 162. The uncorrected formation energy is -0.537 eV/atom. For the electronic total energy, the calculation gives -2.907 eV per atom. The value obtained for the calculated volume is 45.4 A^3/atom.

---

A relaxed GePbI5 crystal, computed with PBE.

```
GePbI5
1.0
6.506 -4.502 0.000
6.506 4.502 0.000
-5.897 0.000 10.915
Ge Pb I
2 2 10
direct
0.000 0.000 0.000 Ge
0.000 0.000 0.500 Ge
0.358 0.642 0.750 Pb
0.642 0.358 0.250 Pb
0.014 0.986 0.750 I
0.244 0.260 0.125 I
0.260 0.244 0.625 I
0.312 0.681 0.008 I
0.319 0.688 0.492 I
0.681 0.312 0.508 I
0.688 0.319 0.992 I
0.740 0.756 0.375 I
0.756 0.740 0.875 I
0.986 0.014 0.250 I
```

Values from the calculation:
The calculation puts the spin magnetization at 0.000 μB per atom. Its space group is No. 15. The uncorrected formation energy is -0.288 eV/atom. For the electronic total energy, the calculation gives -2.584 eV per atom. The value obtained for the calculated volume is 45.7 A^3/atom.

---

A relaxed GePbI2 crystal, computed with PBE.

```
GePbI2
1.0
0.000 3.951 3.951
3.951 0.000 3.951
3.951 3.951 0.000
Ge Pb I
1 1 2
direct
0.000 0.000 0.000 Ge
0.500 0.500 0.500 Pb
0.250 0.250 0.250 I
0.750 0.750 0.750 I
```

Values from the calculation:
The calculation puts the spin magnetization at 0.000 μB per atom. Its space group is No. 225. The uncorrected formation energy is 0.150 eV/atom. For the electronic total energy, the calculation gives -2.707 eV per atom. The value obtained for the calculated volume is 30.8 A^3/atom.

---

A relaxed GePb2I2 crystal, computed with PBE.

```
GePb2I2
1.0
8.006 0.000 0.000
0.000 8.006 0.000
0.000 0.000 5.414
Ge Pb I
2 4 4
direct
0.000 0.000 0.000 Ge
0.500 0.500 0.000 Ge
0.154 0.346 0.000 Pb
0.346 0.846 0.000 Pb
0.654 0.154 0.000 Pb
0.846 0.654 0.000 Pb
0.185 0.685 0.500 I
0.315 0.185 0.500 I
0.685 0.815 0.500 I
0.815 0.315 0.500 I
```

Values from the calculation:
The calculation puts the spin magnetization at 0.000 μB per atom. Its space group is No. 127. The uncorrected formation energy is 0.005 eV/atom. For the electronic total energy, the calculation gives -3.022 eV per atom. The value obtained for the calculated volume is 34.7 A^3/atom.

---

A relaxed Pr6Ge2PbI3 crystal, computed with PBE.

```
Pr6Ge2PbI3
1.0
10.068 -2.233 0.000
10.068 2.233 0.000
-2.531 0.000 8.950
Pr Ge Pb I
6 2 1 3
direct
0.017 0.017 0.246 Pr
0.321 0.321 0.439 Pr
0.335 0.335 0.871 Pr
0.665 0.665 0.129 Pr
0.679 0.679 0.561 Pr
0.983 0.983 0.754 Pr
0.168 0.168 0.340 Ge
0.832 0.832 0.660 Ge
0.500 0.500 0.000 Pb
0.164 0.164 0.835 I
0.500 0.500 0.500 I
0.836 0.836 0.165 I
```

Values from the calculation:
The calculation puts the spin magnetization at 0.000 μB per atom. Its space group is No. 12. The uncorrected formation energy is -0.951 eV/atom. For the electronic total energy, the calculation gives -4.807 eV per atom. The value obtained for the calculated volume is 33.5 A^3/atom.

---

A relaxed RbGePb2I crystal, computed with PBE.

```
RbGePb2I
1.0
6.645 0.000 0.000
0.000 6.645 0.000
0.000 0.000 5.542
Rb Ge Pb I
1 1 2 1
direct
0.000 0.000 0.000 Rb
0.000 0.000 0.500 Ge
0.000 0.500 0.000 Pb
0.500 0.000 0.000 Pb
0.500 0.500 0.500 I
```

Values from the calculation:
The calculation puts the spin magnetization at 0.000 μB per atom. Its space group is No. 123. The uncorrected formation energy is 1.137 eV/atom. For the electronic total energy, the calculation gives -1.773 eV per atom. The value obtained for the calculated volume is 48.9 A^3/atom.

---

A relaxed RbGe2PbI crystal, computed with PBE.

```
RbGe2PbI
1.0
5.883 0.000 0.000
0.000 5.883 0.000
0.000 0.000 6.986
Rb Ge Pb I
1 2 1 1
direct
0.000 0.000 0.000 Rb
0.000 0.500 0.000 Ge
0.500 0.000 0.000 Ge
0.000 0.000 0.500 Pb
0.500 0.500 0.500 I
```

Values from the calculation:
The calculation puts the spin magnetization at 0.465 μB per atom. Its space group is No. 123. The uncorrected formation energy is 1.326 eV/atom. For the electronic total energy, the calculation gives -1.766 eV per atom. The value obtained for the calculated volume is 48.4 A^3/atom.

---

A relaxed RbGePb2I8 crystal, computed with PBE.

```
RbGePb2I8
1.0
6.717 0.000 0.000
0.000 10.714 0.000
-0.056 0.000 7.861
Rb Ge Pb I
1 1 2 8
direct
0.000 0.000 0.000 Rb
0.000 0.500 0.000 Ge
0.500 0.288 0.500 Pb
0.500 0.712 0.500 Pb
0.237 0.291 0.157 I
0.237 0.709 0.157 I
0.239 0.500 0.666 I
0.247 0.000 0.523 I
0.753 0.000 0.477 I
0.761 0.500 0.334 I
0.763 0.291 0.843 I
0.763 0.709 0.843 I
```

Values from the calculation:
The calculation puts the spin magnetization at 0.000 μB per atom. Its space group is No. 10. The uncorrected formation energy is -0.560 eV/atom. For the electronic total energy, the calculation gives -2.677 eV per atom. The value obtained for the calculated volume is 47.1 A^3/atom.

---

A relaxed Rb2GePbI6 crystal, computed with PBE.

```
Rb2GePbI6
1.0
6.197 0.000 0.000
0.000 6.197 0.000
0.000 0.000 12.317
Rb Ge Pb I
2 1 1 6
direct
0.000 0.000 0.233 Rb
0.000 0.000 0.767 Rb
0.500 0.500 0.000 Ge
0.500 0.500 0.500 Pb
0.000 0.500 0.000 I
0.000 0.500 0.500 I
0.500 0.000 0.000 I
0.500 0.000 0.500 I
0.500 0.500 0.239 I
0.500 0.500 0.761 I
```

Values from the calculation:
The calculation puts the spin magnetization at 0.000 μB per atom. Its space group is No. 123. The uncorrected formation energy is -0.837 eV/atom. For the electronic total energy, the calculation gives -2.793 eV per atom. The value obtained for the calculated volume is 47.3 A^3/atom.

---

A relaxed Rb2GePbI6 crystal, computed with PBE.

```
Rb2GePbI6
1.0
0.000 6.160 6.160
6.160 0.000 6.160
6.160 6.160 0.000
Rb Ge Pb I
2 1 1 6
direct
0.250 0.250 0.250 Rb
0.750 0.750 0.750 Rb
0.000 0.000 0.000 Ge
0.500 0.500 0.500 Pb
0.242 0.242 0.758 I
0.242 0.758 0.242 I
0.242 0.758 0.758 I
0.758 0.242 0.242 I
0.758 0.242 0.758 I
0.758 0.758 0.242 I
```

Values from the calculation:
The calculation puts the spin magnetization at 0.000 μB per atom. Its space group is No. 225. The uncorrected formation energy is -0.850 eV/atom. For the electronic total energy, the calculation gives -2.806 eV per atom. The value obtained for the calculated volume is 46.7 A^3/atom.